## La3RhO (PBE)

Data for a relaxed structure of La3RhO.

It has space group Pm-3m (No. 221), with a = 4.948 Å, b = 4.948 Å, c = 4.948 Å, α = 90.00°, β = 90.00° and γ = 90.00°. The distinct sites, in fractional coordinates, are La at (0.000, 0.000, 0.500), Rh at (0.500, 0.500, 0.500) and O at (0.000, 0.000, 0.000).

Its electronic total energy is -0.4871 Ry/atom. The uncorrected formation energy comes out at -1.21 eV per atom.